1.
# CdIn2Pt, optimized geometry, DFT PBE
# - Calculated total energy: -50.1 eV/cell
data_CdIn2Pt
_cell_length_a 6.985
_cell_length_b 6.985
_cell_length_c 6.985
_cell_angle_alpha 90.00
_cell_angle_beta 90.00
_cell_angle_gamma 90.00
_space_group_name_H-M_alt 'F -4 3 m'
_space_group_IT_number 216
_space_group_name_Hall 'F -4 2 3'
loop_
_atom_site_label
_atom_site_fract_x
_atom_site_fract_y
_atom_site_fract_z
Cd1 0.000 0.000 0.000
In1 0.000 0.000 0.500
In2 0.250 0.250 0.250
Pt1 0.250 0.250 0.750

2.
# CdInPt2, optimized geometry, DFT PBE
# - Calculated total energy: -66.0 eV/cell
data_CdInPt2
_cell_length_a 6.600
_cell_length_b 6.600
_cell_length_c 6.600
_cell_angle_alpha 90.00
_cell_angle_beta 90.00
_cell_angle_gamma 90.00
_space_group_name_H-M_alt 'F -4 3 m'
_space_group_IT_number 216
_space_group_name_Hall 'F -4 2 3'
loop_
_atom_site_label
_atom_site_fract_x
_atom_site_fract_y
_atom_site_fract_z
Cd1 0.000 0.000 0.000
In1 0.250 0.250 0.750
Pt1 0.000 0.000 0.500
Pt2 0.250 0.250 0.250